A plane-wave DFT calculation with PBE was carried out for U2Co3P4 after structural relaxation.

abc: 5.251 5.251 6.100
angles: 101.90 101.90 121.41
Fractional coordinates of all 9 atoms:
U 0.641 0.641 0.282
U 0.359 0.359 0.718
Co 0.500 0.000 0.000
Co 0.000 0.000 0.000
Co 0.000 0.500 0.000
P 0.009 0.682 0.691
P 0.682 0.009 0.691
P 0.991 0.318 0.309
P 0.318 0.991 0.309

## Properties
- DOS(E_F) (states/eV per cell) = 11.6
- space-group type = Fmmm, No. 69
- raw total energy (eV per formula unit) = -71.0
- energy of formation from the pure elements (kcal/mol of atoms) = -13.99